# 1
Below is Na2UTi2Te6 after structural relaxation, with properties calculated at the PBE level.

Space group   C2/m (12)

Unit cell a=7.0903 b=7.0903 c=8.1030 alpha=97.99 beta=97.99 gamma=120.31
With the nearest neighbours (Å) after each atom.
Positions (direct):
Na (0.8420, 0.1580, 0.0000)  6 Te 3.20-3.25
Na (0.1580, 0.8420, 0.0000)  6 Te 3.20-3.25
U (0.0000, 0.0000, 0.5000)  6 Te 3.03-3.04
Ti (0.3316, 0.6684, 0.5000)  6 Te 2.85-2.86
Ti (0.6684, 0.3316, 0.5000)  6 Te 2.85-2.86
Te (0.7127, 0.7127, 0.7175)  2 Ti 2.86, 1 U 3.04
Te (0.0716, 0.4233, 0.7195)  2 Ti 2.85, 1 U 3.03
Te (0.2873, 0.2873, 0.2825)  2 Ti 2.86, 1 U 3.04
Te (0.4233, 0.0716, 0.7195)  2 Ti 2.85, 1 U 3.03
Te (0.9284, 0.5767, 0.2805)  2 Ti 2.85, 1 U 3.03
Te (0.5767, 0.9284, 0.2805)  2 Ti 2.85, 1 U 3.03



# 2
Below is Na3U2TiTe6 after structural relaxation, with properties calculated at the PBE level.

Space group   C2/m (12)

Unit cell a=7.4241 b=7.4241 c=8.0648 alpha=98.85 beta=98.85 gamma=120.03
With the nearest neighbours (Å) after each atom.
Positions (direct):
Na (0.1732, 0.8268, 0.5000)  6 Te 3.19-3.28
Na (0.8268, 0.1732, 0.5000)  6 Te 3.19-3.28
Na (0.5000, 0.5000, 0.5000)  6 Te 3.19-3.34
U (0.3342, 0.6658, 0.0000)  6 Te 3.09-3.10
U (0.6658, 0.3342, 0.0000)  6 Te 3.09-3.10
Ti (0.0000, 0.0000, 0.0000)  6 Te 2.92-2.93
Te (0.9243, 0.6090, 0.7713)  1 Ti 2.92, 2 U 3.09-3.10, 2 Na 3.19
Te (0.7627, 0.7627, 0.2301)  1 Ti 2.93, 2 U 3.09, 2 Na 3.23
Te (0.0757, 0.3910, 0.2287)  1 Ti 2.92, 2 U 3.09-3.10, 2 Na 3.19
Te (0.6090, 0.9243, 0.7713)  1 Ti 2.92, 2 U 3.09-3.10, 2 Na 3.19
Te (0.2373, 0.2373, 0.7699)  1 Ti 2.93, 2 U 3.09, 2 Na 3.23
Te (0.3910, 0.0757, 0.2287)  1 Ti 2.92, 2 U 3.09-3.10, 2 Na 3.19



# 3
Below is Na3UTi2Te6 after structural relaxation, with properties calculated at the PBE level.

Space group   C2/m (12)

Unit cell a=7.2370 b=7.2370 c=8.0081 alpha=98.72 beta=98.72 gamma=120.16
With the nearest neighbours (Å) after each atom.
Positions (direct):
Na (0.1564, 0.8436, 0.5000)  6 Te 3.18-3.28
Na (0.8436, 0.1564, 0.5000)  6 Te 3.18-3.28
Na (0.5000, 0.5000, 0.5000)  6 Te 3.14-3.25
U (0.0000, 0.0000, 0.0000)  6 Te 3.04-3.07
Ti (0.3254, 0.6746, 0.0000)  6 Te 2.84-2.92
Ti (0.6746, 0.3254, 0.0000)  6 Te 2.84-2.92
Te (0.9230, 0.5712, 0.7763)  2 Ti 2.84-2.89, 1 U 3.07, 1 Na 3.18
Te (0.7152, 0.7152, 0.2130)  2 Ti 2.92, 1 U 3.04, 3 Na 3.14-3.24
Te (0.0770, 0.4288, 0.2237)  2 Ti 2.84-2.89, 1 U 3.07, 1 Na 3.18
Te (0.5712, 0.9230, 0.7763)  2 Ti 2.84-2.89, 1 U 3.07, 1 Na 3.18
Te (0.2848, 0.2848, 0.7870)  2 Ti 2.92, 1 U 3.04, 3 Na 3.14-3.24
Te (0.4288, 0.0770, 0.2237)  2 Ti 2.84-2.89, 1 U 3.07, 1 Na 3.18



# 4
Below is Na4UTi3Te8 after structural relaxation, with properties calculated at the PBE level.

Space group   R-3m (166)

Unit cell a=8.2793 b=9.0340 c=8.2804 alpha=117.30 beta=120.00 gamma=90.00
With the nearest neighbours (Å) after each atom.
Positions (direct):
Na (0.5000, 0.0000, 0.0000)  6 Te 3.12
Na (0.5000, 0.0000, 0.5000)  6 Te 3.25-3.27
Na (0.0000, 0.0000, 0.0000)  6 Te 3.25-3.27
Na (0.0000, 0.0000, 0.5000)  6 Te 3.25-3.27
U (0.0000, 0.5000, 0.0000)  6 Te 3.03
Ti (0.5000, 0.5000, 0.0000)  6 Te 2.88
Ti (0.5000, 0.5000, 0.5000)  6 Te 2.88
Ti (0.0000, 0.5000, 0.5000)  6 Te 2.88
Te (0.2489, 0.7212, 0.9725)  2 Ti 2.88, 1 U 3.03, 1 Na 3.12
Te (0.2489, 0.7212, 0.4978)  2 Ti 2.88, 1 U 3.03, 1 Na 3.12
Te (0.2636, 0.2911, 0.5273)  3 Ti 2.88
Te (0.7236, 0.7212, 0.9725)  2 Ti 2.88, 1 U 3.03, 1 Na 3.12
Te (0.2764, 0.2788, 0.0275)  2 Ti 2.88, 1 U 3.03, 1 Na 3.12
Te (0.7364, 0.7089, 0.4727)  3 Ti 2.88
Te (0.7511, 0.2788, 0.5022)  2 Ti 2.88, 1 U 3.03, 1 Na 3.12
Te (0.7511, 0.2788, 0.0275)  2 Ti 2.88, 1 U 3.03, 1 Na 3.12



# 5
Below is NaTiV2Te after structural relaxation, with properties calculated at the PBE level.

Space group   P4/mmm (123)

Unit cell a=5.0385 b=5.2919 c=5.0385 alpha=90.00 beta=90.00 gamma=90.00
With the nearest neighbours (Å) after each atom.
Positions (direct):
Na (0.0000, 0.5000, 0.0000)  2 Te 2.65
Te (0.0000, 0.0000, 0.0000)  4 V 2.52, 2 Na 2.65
Ti (0.5000, 0.5000, 0.5000)  4 Na 3.56, 8 V 3.65
V (0.0000, 0.0000, 0.5000)  2 Te 2.52
V (0.5000, 0.0000, 0.0000)  2 Te 2.52



# 6
Below is Na3Ti2VTe6 after structural relaxation, with properties calculated at the PBE level.

Space group   C2/m (12)

Unit cell a=7.0253 b=7.0253 c=7.9822 alpha=98.36 beta=98.36 gamma=121.07
With the nearest neighbours (Å) after each atom.
Positions (direct):
Na (0.1774, 0.8226, 0.5000)  6 Te 3.17-3.24
Na (0.8226, 0.1774, 0.5000)  6 Te 3.17-3.24
Na (0.5000, 0.5000, 0.5000)  6 Te 3.17-3.29
Ti (0.3532, 0.6468, 0.0000)  6 Te 2.77-2.94
Ti (0.6468, 0.3532, 0.0000)  6 Te 2.77-2.94
V (0.0000, 0.0000, 0.0000)  6 Te 2.81-2.84
Te (0.9398, 0.6008, 0.7990)  1 V 2.81, 2 Ti 2.81-2.94
Te (0.7519, 0.7519, 0.2270)  2 Ti 2.77, 1 V 2.84
Te (0.0602, 0.3992, 0.2010)  1 V 2.81, 2 Ti 2.81-2.94
Te (0.6008, 0.9398, 0.7990)  1 V 2.81, 2 Ti 2.81-2.94
Te (0.2481, 0.2481, 0.7730)  2 Ti 2.77, 1 V 2.84
Te (0.3992, 0.0602, 0.2010)  1 V 2.81, 2 Ti 2.81-2.94



# 7
Below is Na3TiV2Te6 after structural relaxation, with properties calculated at the PBE level.

Space group   C2/m (12)

Unit cell a=6.9971 b=6.9971 c=7.9321 alpha=98.47 beta=98.47 gamma=120.07
With the nearest neighbours (Å) after each atom.
Positions (direct):
Na (0.1726, 0.8274, 0.5000)  6 Te 3.18-3.24
Na (0.8274, 0.1726, 0.5000)  6 Te 3.18-3.24
Na (0.5000, 0.5000, 0.5000)  6 Te 3.17-3.28
Ti (0.0000, 0.0000, 0.0000)  6 Te 2.81-2.85
V (0.3470, 0.6530, 0.0000)  6 Te 2.76-2.87
V (0.6530, 0.3470, 0.0000)  6 Te 2.76-2.87
Te (0.9386, 0.5979, 0.7990)  2 V 2.81-2.87, 1 Ti 2.81
Te (0.7424, 0.7424, 0.2189)  2 V 2.76, 1 Ti 2.85
Te (0.0614, 0.4021, 0.2010)  2 V 2.81-2.87, 1 Ti 2.81
Te (0.5979, 0.9386, 0.7990)  2 V 2.81-2.87, 1 Ti 2.81
Te (0.2576, 0.2576, 0.7811)  2 V 2.76, 1 Ti 2.85
Te (0.4021, 0.0614, 0.2010)  2 V 2.81-2.87, 1 Ti 2.81



# 8
Below is NaTiVTe3 after structural relaxation, with properties calculated at the PBE level.

Space group   P2_1/m (11)

Unit cell a=3.8105 b=8.9271 c=9.8426 alpha=112.11 beta=90.00 gamma=90.00
With the nearest neighbours (Å) after each atom.
Positions (direct):
Na (0.7500, 0.8008, 0.7421)  7 Te 3.23-3.60
Na (0.2500, 0.1992, 0.2579)  7 Te 3.23-3.60
Ti (0.2500, 0.6558, 0.1438)  6 Te 2.76-2.91
Ti (0.7500, 0.3442, 0.8562)  6 Te 2.76-2.91
V (0.2500, 0.0729, 0.5919)  2 V 2.61, 4 Te 2.62-2.73
V (0.7500, 0.9271, 0.4081)  2 V 2.61, 4 Te 2.62-2.73
Te (0.2500, 0.7438, 0.4601)  3 V 2.68-2.73, 1 Ti 2.91
Te (0.7500, 0.8855, 0.1300)  1 V 2.62, 2 Ti 2.84
Te (0.7500, 0.4352, 0.1571)  3 Ti 2.76-2.78
Te (0.7500, 0.2562, 0.5399)  3 V 2.68-2.73, 1 Ti 2.91
Te (0.2500, 0.5648, 0.8429)  3 Ti 2.76-2.78
Te (0.2500, 0.1145, 0.8700)  1 V 2.62, 2 Ti 2.84



# 9
Below is Na2Ti2VTe6 after structural relaxation, with properties calculated at the PBE level.

Space group   C2/m (12)

Unit cell a=6.7127 b=6.7127 c=8.2652 alpha=97.90 beta=97.90 gamma=120.00
With the nearest neighbours (Å) after each atom.
Positions (direct):
Na (0.8330, 0.1670, 0.0000)  6 Te 3.22
Na (0.1670, 0.8330, 0.0000)  6 Te 3.22
Ti (0.3317, 0.6683, 0.5000)  6 Te 2.79-2.80
Ti (0.6683, 0.3317, 0.5000)  6 Te 2.79-2.80
V (0.0000, 0.0000, 0.5000)  6 Te 2.78-2.79
Te (0.7369, 0.7369, 0.7088)  1 V 2.79, 2 Ti 2.80
Te (0.0738, 0.4028, 0.7104)  1 V 2.78, 2 Ti 2.79-2.80
Te (0.2631, 0.2631, 0.2912)  1 V 2.79, 2 Ti 2.80
Te (0.4028, 0.0738, 0.7104)  1 V 2.78, 2 Ti 2.79-2.80
Te (0.9262, 0.5972, 0.2896)  1 V 2.78, 2 Ti 2.79-2.80
Te (0.5972, 0.9262, 0.2896)  1 V 2.78, 2 Ti 2.79-2.80



# 10
Below is NaYTiTe2 after structural relaxation, with properties calculated at the PBE level.

Space group   P4/mmm (123)

Unit cell a=5.7708 b=5.6830 c=5.7708 alpha=90.00 beta=90.00 gamma=90.00
With the nearest neighbours (Å) after each atom.
Positions (direct):
Y (0.0000, 0.0000, 0.0000)  2 Na 2.84, 4 Te 2.89
Na (0.0000, 0.5000, 0.0000)  2 Y 2.84
Te (0.0000, 0.0000, 0.5000)  2 Y 2.89
Te (0.5000, 0.0000, 0.0000)  2 Y 2.89
Ti (0.5000, 0.5000, 0.5000)  8 Te 4.05, 4 Na 4.08



# 11
Below is Na3Y2TiTe6 after structural relaxation, with properties calculated at the PBE level.

Space group   C2/m (12)

Unit cell a=7.4798 b=7.4798 c=7.9746 alpha=99.02 beta=99.02 gamma=120.03
With the nearest neighbours (Å) after each atom.
Positions (direct):
Na (0.1734, 0.8266, 0.5000)  6 Te 3.20-3.30
Na (0.8266, 0.1734, 0.5000)  6 Te 3.20-3.30
Na (0.5000, 0.5000, 0.5000)  6 Te 3.19-3.37
Y (0.3339, 0.6661, 0.0000)  6 Te 3.08-3.09
Y (0.6661, 0.3339, 0.0000)  6 Te 3.08-3.09
Ti (0.0000, 0.0000, 0.0000)  6 Te 2.89-2.90
Te (0.9249, 0.6108, 0.7746)  1 Ti 2.90, 2 Y 3.08-3.09, 2 Na 3.19-3.20
Te (0.7629, 0.7629, 0.2253)  1 Ti 2.89, 2 Y 3.08
Te (0.0751, 0.3892, 0.2254)  1 Ti 2.90, 2 Y 3.08-3.09, 2 Na 3.19-3.20
Te (0.6108, 0.9249, 0.7746)  1 Ti 2.90, 2 Y 3.08-3.09, 2 Na 3.19-3.20
Te (0.2371, 0.2371, 0.7747)  1 Ti 2.89, 2 Y 3.08
Te (0.3892, 0.0751, 0.2254)  1 Ti 2.90, 2 Y 3.08-3.09, 2 Na 3.19-3.20



# 12
Below is Na3YTi2Te6 after structural relaxation, with properties calculated at the PBE level.

Space group   C2/m (12)

Unit cell a=7.2525 b=7.2525 c=7.9829 alpha=98.78 beta=98.78 gamma=120.36
With the nearest neighbours (Å) after each atom.
Positions (direct):
Na (0.1551, 0.8449, 0.5000)  6 Te 3.19-3.28
Na (0.8449, 0.1551, 0.5000)  6 Te 3.19-3.28
Na (0.5000, 0.5000, 0.5000)  6 Te 3.14-3.26
Y (0.0000, 0.0000, 0.0000)  6 Te 3.04-3.07
Ti (0.3253, 0.6747, 0.0000)  6 Te 2.83-2.91
Ti (0.6747, 0.3253, 0.0000)  6 Te 2.83-2.91
Te (0.9242, 0.5711, 0.7775)  2 Ti 2.83-2.88, 1 Y 3.07
Te (0.7138, 0.7138, 0.2119)  2 Ti 2.91, 1 Y 3.04, 3 Na 3.14-3.23
Te (0.0758, 0.4289, 0.2225)  2 Ti 2.83-2.88, 1 Y 3.07
Te (0.5711, 0.9242, 0.7775)  2 Ti 2.83-2.88, 1 Y 3.07
Te (0.2862, 0.2862, 0.7881)  2 Ti 2.91, 1 Y 3.04, 3 Na 3.14-3.23
Te (0.4289, 0.0758, 0.2225)  2 Ti 2.83-2.88, 1 Y 3.07



Calculated energy relative to the elements, uncorrected in order - -0.759, -0.779, -0.785, -0.781, 1.200, -0.707, -0.617, -0.576, -0.680, 0.505, -1.119, -0.940 eV per atom